# YTaBr GGA-PBE optimized geometry
# total DFT energy (no corrections) = -6.58 eV/atom
# theoretical density = 8.3 Mg/m³
# magnetization = 0.00 μB/f.u.
# energy relative to the lowest polymorph listed for this composition = 0.0000 eV/atom
data_YTaBr
_chemical_formula_sum 'Y1 Ta1 Br1'
_space_group_name_H-M_alt 'P 3 m 1'
_space_group_IT_number 156
_cell_length_a 3.3901
_cell_length_b 3.3901
_cell_length_c 7.0692
_cell_angle_alpha 90.00
_cell_angle_beta 90.00
_cell_angle_gamma 120.00
loop_
_space_group_symop_operation_xyz
'x,y,z'
'-y,x-y,z'
'-x+y,-x,z'
'-y,-x,z'
'-x+y,y,z'
'x,x-y,z'
loop_
_atom_site_label
_atom_site_type_symbol
_atom_site_fract_x
_atom_site_fract_y
_atom_site_fract_z
Y1 Y 0.0000 0.0000 0.0000
Ta1 Ta 0.3333 0.6667 0.6691
Br1 Br 0.6667 0.3333 0.3478